Here is a relaxed Y2Os2O5 crystal from the Open Quantum Materials Database. Energies are from GGA-PBE.

Summary:
energy above the lowest structure with this stoichiometry = 6.84 kcal/mol of atoms
symmetry = P4/mmm

Unit cell a=3.5422 b=3.5422 c=9.3709 alpha=90.00 beta=90.00 gamma=90.00
Last column: nearest neighbours and their distance in Å.
Fractional coordinates of all 9 atoms:
Y: 0.0000 0.0000 0.2356  5 O 2.21
Y: 0.0000 0.0000 0.7644  5 O 2.21
Os: 0.5000 0.5000 0.0000  4 O 2.50
Os: 0.5000 0.5000 0.5000  8 O 2.12
O: 0.0000 0.0000 0.0000  2 Y 2.21
O: 0.0000 0.5000 0.3760  2 Os 2.12, 2 Y 2.21, 1 O 2.32
O: 0.0000 0.5000 0.6240  2 Os 2.12, 2 Y 2.21, 1 O 2.32
O: 0.5000 0.0000 0.3760  2 Os 2.12, 2 Y 2.21, 1 O 2.32
O: 0.5000 0.0000 0.6240  2 Os 2.12, 2 Y 2.21, 1 O 2.32

=====

Here is a relaxed Y5Os2O12 crystal from the Open Quantum Materials Database. Energies are from GGA-PBE.

Summary:
electronic total energy = -8.700 eV/atom
symmetry = C2/m

Unit cell a=6.8514 b=6.8514 c=7.4554 alpha=106.02 beta=106.02 gamma=48.47
Last column: nearest neighbours and their distance in Å.
Fractional coordinates of all 19 atoms:
Y: 0.0000 0.0000 0.0000  6 O 2.20-2.30
Y: 0.3014 0.3014 0.1417  7 O 2.27-2.43
Y: 0.3125 0.3125 0.6712  7 O 2.25-2.44
Y: 0.6875 0.6875 0.3288  7 O 2.25-2.44
Y: 0.6986 0.6986 0.8583  7 O 2.27-2.43
Os: 0.2193 0.7807 0.5000  6 O 1.96-2.05
Os: 0.7807 0.2193 0.5000  6 O 1.96-2.05
O: 0.0009 0.0009 0.2962  2 Os 1.96
O: 0.0867 0.5810 0.4147  1 Os 1.99
O: 0.0993 0.5958 0.9274  4 Y 2.27-2.32
O: 0.4042 0.9007 0.0726  4 Y 2.27-2.32
O: 0.4190 0.9133 0.5853  1 Os 1.99
O: 0.4988 0.4988 0.3242  2 Os 2.05
O: 0.5012 0.5012 0.6758  2 Os 2.05
O: 0.5810 0.0867 0.4147  1 Os 1.99
O: 0.5958 0.0993 0.9274  4 Y 2.27-2.32
O: 0.9007 0.4042 0.0726  4 Y 2.27-2.32
O: 0.9133 0.4190 0.5853  1 Os 1.99
O: 0.9991 0.9991 0.7038  2 Os 1.96

=====

Here is a relaxed Y2Os2O5 crystal from the Open Quantum Materials Database. Energies are from GGA-PBE.

Summary:
energy above the lowest structure with this stoichiometry = 0.00 kcal/mol of atoms
symmetry = P4/mmm

Unit cell a=3.9329 b=3.9329 c=6.9324 alpha=90.00 beta=90.00 gamma=90.00
Last column: nearest neighbours and their distance in Å.
Fractional coordinates of all 9 atoms:
Y: 0.0000 0.0000 0.0000  8 O 2.58
Y: 0.0000 0.0000 0.5000  12 O 2.67-2.78
Os: 0.5000 0.5000 0.1877  5 O 2.00-2.17
Os: 0.5000 0.5000 0.8123  5 O 2.00-2.17
O: 0.0000 0.5000 0.2403  2 Os 2.00
O: 0.0000 0.5000 0.7597  2 Os 2.00
O: 0.5000 0.0000 0.2403  2 Os 2.00
O: 0.5000 0.0000 0.7597  2 Os 2.00
O: 0.5000 0.5000 0.5000  2 Os 2.17

=====

Here is a relaxed YOsO4 crystal from the Open Quantum Materials Database. Energies are from GGA-PBE.

Summary:
electronic total energy = -8.187 eV/atom
symmetry = C2/c

Unit cell a=6.4505 b=6.4505 c=5.0778 alpha=110.13 beta=110.13 gamma=116.05
Last column: nearest neighbours and their distance in Å.
Fractional coordinates of all 12 atoms:
Y: 0.1354 0.8646 0.7500  8 O 2.29-2.50
Y: 0.8646 0.1354 0.2500  8 O 2.29-2.50
Os: 0.4056 0.5944 0.2500  4 O 1.89-1.93
Os: 0.5944 0.4056 0.7500  4 O 1.89-1.93
O: 0.1467 0.5688 0.3575  1 Os 1.89
O: 0.2399 0.2985 0.7850  1 Os 1.93
O: 0.2985 0.2399 0.2850  1 Os 1.93
O: 0.4312 0.8533 0.1425  1 Os 1.89
O: 0.5688 0.1467 0.8575  1 Os 1.89
O: 0.7015 0.7601 0.7150  1 Os 1.93
O: 0.7601 0.7015 0.2150  1 Os 1.93
O: 0.8533 0.4312 0.6425  1 Os 1.89